--- w ---
Here is a geometry-optimized La2Pm3Sm7 structure from the Alexandria database. Energies are from PBE-GGA.

Results
Total magnetic moment ... 0.0 μB/cell

Geometry as CIF:
```
data_La2Pm3Sm7
_chemical_formula_sum 'La2 Pm3 Sm7'
_cell_length_a 5.980
_cell_length_b 3.645
_cell_length_c 19.260
_cell_angle_alpha 90.00
_cell_angle_beta 93.16
_cell_angle_gamma 90.00
_symmetry_space_group_name_H-M 'P 1 2/m 1'
_symmetry_Int_Tables_number 10
_symmetry_space_group_name_Hall '-P 2y'
loop_
_atom_site_label
_atom_site_type_symbol
_atom_site_fract_x
_atom_site_fract_y
_atom_site_fract_z
_atom_site_occupancy
La1 La 0.208 0.000 0.295 1
Pm1 Pm 0.000 0.000 0.000 1
Pm2 Pm 0.280 0.500 0.631 1
Sm1 Sm 0.185 0.500 0.142 1
Sm2 Sm 0.243 0.000 0.463 1
Sm3 Sm 0.314 0.000 0.827 1
Sm4 Sm 0.500 0.500 0.000 1
```

---

--- x ---
Here is a geometry-optimized La2Pm3Sm7 structure from the Alexandria database. Energies are from PBE-GGA.

Results
Total magnetic moment ... 0.0 μB/cell

Geometry as CIF:
```
data_La2Pm3Sm7
_chemical_formula_sum 'La2 Pm3 Sm7'
_cell_length_a 6.493
_cell_length_b 3.597
_cell_length_c 17.935
_cell_angle_alpha 90.00
_cell_angle_beta 96.24
_cell_angle_gamma 90.00
_symmetry_space_group_name_H-M 'P 1 2/m 1'
_symmetry_Int_Tables_number 10
_symmetry_space_group_name_Hall '-P 2y'
loop_
_atom_site_label
_atom_site_type_symbol
_atom_site_fract_x
_atom_site_fract_y
_atom_site_fract_z
_atom_site_occupancy
La1 La 0.058 0.000 0.171 1
Pm1 Pm 0.453 0.500 0.840 1
Pm2 Pm 0.500 0.000 0.500 1
Sm1 Sm 0.000 0.500 0.500 1
Sm2 Sm 0.227 0.000 0.666 1
Sm3 Sm 0.257 0.000 0.999 1
Sm4 Sm 0.275 0.500 0.336 1
```

---

Which of the structures shown above is the most stable? The most stable is x.